The following is a DFT calculation (PBE+U) of a geometry-optimized Mn2FeIO structure.

Calculated values
raw total energy	-21.62	eV/f.u.

```
Mn2FeIO
1.0
5.531 0.000 0.000
0.000 5.531 0.000
0.000 0.000 4.094
Mn Fe I O
2 1 1 1
Cartesian
0.000 2.765 0.000
2.765 0.000 0.000
0.000 0.000 2.047
2.765 2.765 0.000
2.765 2.765 2.047
```